# Be3Pd

A relaxed structure of Be3Pd (PBE-GGA, Alexandria via LeMat-Bulk).

Cell and atoms, written as POSCAR:
```
Be3Pd
1.0
0.000 3.584 4.795
2.327 0.000 4.795
2.327 3.584 0.000
Be Pd
6 2
Cartesian
1.163 1.792 0.000
2.327 3.584 1.064
1.163 1.792 2.397
1.163 1.792 4.795
3.490 5.376 7.192
2.327 3.584 8.526
2.327 3.584 3.386
2.327 3.584 6.203
```

Summary:
symmetry	Fmmm, No. 69
calculated total energy	-4.368	eV/atom


# RbCoAu2

A relaxed structure of RbCoAu2 (PBE-GGA, Alexandria via LeMat-Bulk).

Cell and atoms, written as POSCAR:
```
RbCoAu2
1.0
-2.726 2.726 8.420
2.726 -2.726 8.420
2.726 2.726 -8.420
Rb Co Au
2 2 4
Cartesian
0.000 0.000 0.000
0.000 2.726 4.210
2.726 0.000 4.210
0.000 0.000 8.420
1.363 -0.015 6.315
2.711 1.363 2.105
1.363 2.740 -2.105
0.015 1.363 10.525
```

Summary:
symmetry	I-42d, No. 122
calculated total energy	-3.385	eV/atom


# YPuInOs

A relaxed structure of YPuInOs (PBE-GGA, Alexandria via LeMat-Bulk).

Cell and atoms, written as POSCAR:
```
YPuInOs
1.0
0.000 3.570 3.570
3.570 0.000 3.570
3.570 3.570 0.000
Y Pu In Os
1 1 1 1
Cartesian
0.000 0.000 0.000
3.570 3.570 3.570
1.785 1.785 1.785
5.355 5.355 5.355
```

Summary:
symmetry	F-43m, No. 216
calculated total energy	-8.725	eV/atom


# AcOsRu

A relaxed structure of AcOsRu (PBE-GGA, Alexandria via LeMat-Bulk).

Cell and atoms, written as POSCAR:
```
AcOsRu
1.0
11.408 0.000 0.000
0.000 2.346 2.347
0.000 -2.346 2.347
Ac Os Ru
2 2 2
Cartesian
2.065 0.000 0.000
9.344 0.000 0.000
4.382 0.000 2.342
7.026 0.000 2.342
0.000 0.000 2.357
5.704 0.000 4.687
```

Summary:
symmetry	Amm2, No. 38
calculated total energy	-7.599	eV/atom


# HfTi2Tl

A relaxed structure of HfTi2Tl (PBE-GGA, Alexandria via LeMat-Bulk).

Cell and atoms, written as POSCAR:
```
HfTi2Tl
1.0
2.715 -1.570 0.000
2.715 1.570 0.000
-1.828 0.000 9.629
Hf Ti Tl
1 2 1
Cartesian
0.000 0.000 0.000
-0.013 0.000 7.279
3.615 0.000 2.350
1.801 0.000 4.814
```

Summary:
symmetry	C2/m, No. 12
calculated total energy	-6.926	eV/atom


# HgB2Ir2

A relaxed structure of HgB2Ir2 (PBE-GGA, Alexandria via LeMat-Bulk).

Cell and atoms, written as POSCAR:
```
HgB2Ir2
1.0
6.688 0.000 0.000
0.000 6.688 0.000
0.000 0.000 2.769
Hg B Ir
2 4 4
Cartesian
0.000 0.000 0.000
3.344 3.344 0.000
0.847 2.496 0.000
2.496 5.840 0.000
4.191 0.847 0.000
5.840 4.191 0.000
0.980 4.324 1.385
2.364 0.980 1.385
4.324 5.708 1.385
5.708 2.364 1.385
```

Summary:
symmetry	P4/mbm, No. 127
calculated total energy	-5.852	eV/atom


# Al2TlGeI

A relaxed structure of Al2TlGeI (PBE-GGA, Alexandria via LeMat-Bulk).

Cell and atoms, written as POSCAR:
```
Al2TlGeI
1.0
5.262 0.000 0.000
0.000 5.262 0.000
0.000 0.000 6.157
Al Tl Ge I
2 1 1 1
Cartesian
0.000 2.631 0.000
2.631 0.000 0.000
0.000 0.000 0.000
2.631 2.631 3.079
0.000 0.000 3.079
```

Summary:
energy relative to the elements, uncorrected	4.5	eV/f.u.
symmetry	P4/mmm, No. 123
calculated total energy	-2.303	eV/atom


# Tb8Sm6Ho

A relaxed structure of Tb8Sm6Ho (PBE-GGA, Alexandria via LeMat-Bulk).

Cell and atoms, written as POSCAR:
```
Tb8Sm6Ho
1.0
9.456 0.000 0.000
-4.728 8.189 0.000
0.000 0.000 6.575
Tb Sm Ho
8 6 1
Cartesian
-3.123 5.679 2.573
1.371 2.645 2.573
2.976 0.135 4.002
0.000 5.459 4.296
4.728 2.730 2.279
1.752 8.054 2.573
3.357 5.544 4.002
7.851 2.510 4.002
-1.128 3.332 0.667
-1.278 7.500 0.667
2.321 2.643 5.908
2.406 5.546 0.667
6.006 0.689 5.908
5.856 4.857 5.908
0.000 0.000 0.000
```

Summary:
symmetry	P-3, No. 147
calculated total energy	-4.434	eV/atom


# Sc4CoCu2Rh

A relaxed structure of Sc4CoCu2Rh (PBE-GGA, Alexandria via LeMat-Bulk).

Cell and atoms, written as POSCAR:
```
Sc4CoCu2Rh
1.0
2.279 1.316 7.413
-2.279 1.316 7.413
0.000 -2.632 7.413
Sc Co Cu Rh
4 1 2 1
Cartesian
0.000 0.000 2.728
0.000 0.000 8.293
0.000 0.000 13.945
0.000 0.000 19.510
0.000 0.000 0.000
0.000 0.000 5.548
0.000 0.000 16.691
0.000 0.000 11.119
```

Summary:
symmetry	R-3m, No. 166
calculated total energy	-6.473	eV/atom


# BaNp2Ni2S6

A relaxed structure of BaNp2Ni2S6 (PBE-GGA, Alexandria via LeMat-Bulk).

Cell and atoms, written as POSCAR:
```
BaNp2Ni2S6
1.0
7.066 0.000 0.000
3.495 6.189 0.000
3.222 2.078 6.153
Ba Np Ni S
1 2 2 6
Cartesian
0.000 0.000 0.000
2.320 2.713 2.008
11.463 5.555 4.145
6.608 4.972 2.077
7.175 3.295 4.076
4.637 4.032 1.982
5.803 3.804 5.681
6.690 6.740 3.374
7.093 1.527 2.779
7.981 4.463 0.472
9.146 4.236 4.171
```

Summary:
energy relative to the elements, uncorrected	-11.9	eV/f.u.
symmetry	P-1, No. 2
calculated total energy	-6.910	eV/atom


# PaTiRhO6

A relaxed structure of PaTiRhO6 (PBE-GGA, Alexandria via LeMat-Bulk).

Cell and atoms, written as POSCAR:
```
PaTiRhO6
1.0
4.826 0.000 0.000
0.000 4.826 0.000
0.000 0.000 9.591
Pa Ti Rh O
2 2 2 12
Cartesian
0.000 0.000 0.000
2.413 2.413 4.795
0.000 0.000 6.377
2.413 2.413 1.582
0.000 0.000 3.136
2.413 2.413 7.931
0.873 0.873 4.791
0.943 0.943 7.814
1.001 1.001 1.629
1.412 3.414 6.424
1.470 3.356 3.018
1.540 3.286 9.587
3.286 1.540 9.587
3.356 1.470 3.018
3.414 1.412 6.424
3.826 3.826 1.629
3.883 3.883 7.814
3.953 3.953 4.791
```

Summary:
energy relative to the elements, uncorrected	-22.8	eV/f.u.
symmetry	P4_2nm, No. 102
calculated total energy	-8.592	eV/atom


# Cs2CeAuO4

A relaxed structure of Cs2CeAuO4 (PBE-GGA, Alexandria via LeMat-Bulk).

Cell and atoms, written as POSCAR:
```
Cs2CeAuO4
1.0
-3.397 3.397 3.940
3.397 -3.397 3.940
3.397 3.397 -3.940
Cs Ce Au O
2 1 1 4
Cartesian
0.000 0.000 0.000
0.000 3.397 1.970
0.000 0.000 3.940
3.397 0.000 1.970
1.459 -0.821 2.620
1.938 4.218 -1.320
2.576 1.938 1.320
0.821 1.459 5.260
```

Summary:
energy relative to the elements, uncorrected	-12.9	eV/f.u.
symmetry	I-4, No. 82
calculated total energy	-5.455	eV/atom


# Sr3CrN3

A relaxed structure of Sr3CrN3 (PBE-GGA, Alexandria via LeMat-Bulk).

Cell and atoms, written as POSCAR:
```
Sr3CrN3
1.0
4.411 -5.401 0.000
4.411 5.401 0.000
0.000 0.000 5.435
Sr Cr N
6 2 6
Cartesian
4.411 4.238 4.076
2.577 1.277 4.076
2.577 -1.277 1.359
6.245 1.277 4.076
6.245 -1.277 1.359
4.411 -4.238 1.359
4.411 2.162 1.359
4.411 -2.162 4.076
4.411 3.989 1.359
2.806 1.417 1.359
2.806 -1.417 4.076
6.017 1.417 1.359
6.017 -1.417 4.076
4.411 -3.989 4.076
```

Summary:
energy relative to the elements, uncorrected	-5.4	eV/f.u.
symmetry	Cmcm, No. 63
calculated total energy	-6.428	eV/atom


# LaAs2Rh

A relaxed structure of LaAs2Rh (PBE-GGA, Alexandria via LeMat-Bulk).

Cell and atoms, written as POSCAR:
```
LaAs2Rh
1.0
-2.112 2.112 5.030
2.112 -2.112 5.030
2.112 2.112 -5.030
La As Rh
1 2 1
Cartesian
0.000 0.000 0.000
0.000 0.000 3.736
0.000 0.000 6.323
2.112 0.000 2.515
```

Summary:
symmetry	I-4m2, No. 119
calculated total energy	-6.336	eV/atom


# YCd2Cl

A relaxed structure of YCd2Cl (PBE-GGA, Alexandria via LeMat-Bulk).

Cell and atoms, written as POSCAR:
```
YCd2Cl
1.0
3.543 0.000 0.000
0.000 3.543 0.000
0.000 0.000 8.173
Y Cd Cl
1 2 1
Cartesian
0.000 0.000 0.000
1.772 1.772 2.094
1.772 1.772 6.079
0.000 0.000 4.086
```

Summary:
energy relative to the elements, uncorrected	-1.5	eV/f.u.
symmetry	P4/mmm, No. 123
calculated total energy	-2.904	eV/atom


# Dy5SnHg2

A relaxed structure of Dy5SnHg2 (PBE-GGA, Alexandria via LeMat-Bulk).

Cell and atoms, written as POSCAR:
```
Dy5SnHg2
1.0
-4.127 4.127 6.540
4.127 -4.127 6.540
4.127 4.127 -6.540
Dy Sn Hg
10 2 4
Cartesian
0.000 0.000 0.000
5.408 1.281 -1.951
1.281 2.846 -1.951
5.408 1.281 1.951
1.281 2.846 1.951
0.000 0.000 6.540
2.846 1.281 4.589
-1.281 2.846 4.589
2.846 1.281 8.491
-1.281 2.846 8.491
0.000 0.000 3.270
0.000 0.000 9.811
2.986 1.141 0.000
2.986 -1.141 6.540
1.141 5.268 0.000
1.141 2.986 6.540
```

Summary:
symmetry	I4/mcm, No. 140
calculated total energy	-3.928	eV/atom


# Pm6Tl3Ir

A relaxed structure of Pm6Tl3Ir (PBE-GGA, Alexandria via LeMat-Bulk).

Cell and atoms, written as POSCAR:
```
Pm6Tl3Ir
1.0
11.554 0.000 0.000
0.000 3.808 0.000
-4.512 0.000 13.957
Pm Tl Ir
12 6 2
Cartesian
-0.771 0.952 2.483
-0.769 2.856 5.811
-0.629 0.952 11.760
2.614 0.952 3.667
1.488 0.952 8.923
4.322 2.856 0.963
2.720 0.952 12.994
5.554 2.856 5.033
4.428 2.856 10.290
7.671 2.856 2.197
7.811 0.952 8.146
7.812 2.856 11.473
-1.336 2.856 9.086
1.546 0.952 0.257
2.413 2.856 6.316
4.628 0.952 7.640
5.496 2.856 13.700
8.378 0.952 4.871
1.581 2.856 11.176
5.461 0.952 2.780
```

Summary:
symmetry	P2_1/m, No. 11
calculated total energy	-4.769	eV/atom


# ErGeRh

A relaxed structure of ErGeRh (PBE-GGA, Alexandria via LeMat-Bulk).

Cell and atoms, written as POSCAR:
```
ErGeRh
1.0
6.873 0.000 0.000
0.000 4.303 0.000
0.000 0.000 7.539
Er Ge Rh
4 4 4
Cartesian
0.019 1.076 1.475
3.417 3.227 5.244
3.456 1.076 2.295
6.853 3.227 6.065
1.463 3.227 2.972
1.974 1.076 6.741
4.899 3.227 0.798
5.410 1.076 4.568
1.081 1.076 4.276
2.355 3.227 0.506
4.518 1.076 7.033
5.791 3.227 3.263
```

Summary:
symmetry	Pnma, No. 62
calculated total energy	-6.508	eV/atom


# BeSb2Te

A relaxed structure of BeSb2Te (PBE-GGA, Alexandria via LeMat-Bulk).

Cell and atoms, written as POSCAR:
```
BeSb2Te
1.0
3.277 0.000 0.000
0.000 3.277 0.000
0.000 0.000 9.176
Be Sb Te
1 2 1
Cartesian
0.000 0.000 0.000
1.639 1.639 1.516
1.639 1.639 7.660
0.000 0.000 4.588
```

Summary:
energy relative to the elements, uncorrected	1.3	eV/f.u.
symmetry	P4/mmm, No. 123
calculated total energy	-3.456	eV/atom


# OsRuPb2

A relaxed structure of OsRuPb2 (PBE-GGA, Alexandria via LeMat-Bulk).

Cell and atoms, written as POSCAR:
```
OsRuPb2
1.0
0.000 3.412 3.412
3.412 0.000 3.412
3.412 3.412 0.000
Os Ru Pb
1 1 2
Cartesian
0.000 0.000 0.000
5.118 5.118 5.118
1.706 1.706 1.706
3.412 3.412 3.412
```

Summary:
symmetry	F-43m, No. 216
calculated total energy	-5.938	eV/atom